No. 1
First-principles (GGA-PBE) data for crystalline ZnTc3N at its relaxed geometry, as listed in Alexandria via LeMat-Bulk.

Cell: 8.2362 8.2362 4.0772 Å, 103.93 103.93 28.72°
Atoms (fractional coordinates):
Zn (0.0619, 0.0619, 0.2997)
Zn (0.9381, 0.9381, 0.7003)
Tc (0.1712, 0.1712, 0.8980)
Tc (0.3106, 0.3106, 0.5678)
Tc (0.4478, 0.4478, 0.2025)
Tc (0.5522, 0.5522, 0.7975)
Tc (0.6894, 0.6894, 0.4322)
Tc (0.8288, 0.8288, 0.1020)
N (0.3138, 0.3138, 0.0706)
N (0.6862, 0.6862, 0.9294)

Results
- Uncorrected formation energy: 0.02 eV per atom
- Offset from the most stable computed form: 0 meV per atom
- N(E_F): 0.540 states/eV/atom
- M_tot: 0.00 μB/f.u.

No. 2
First-principles (GGA-PBE) data for crystalline Pr3Sn3Pd at its relaxed geometry, as listed in Alexandria via LeMat-Bulk.

Cell: 6.2419 6.2419 15.3703 Å, 108.15 108.15 44.08°
Atoms (fractional coordinates):
Pr (0.0315, 0.0315, 0.3824)
Pr (0.0968, 0.0968, 0.9210)
Pr (0.2419, 0.2419, 0.2313)
Pr (0.7581, 0.7581, 0.7687)
Pr (0.9032, 0.9032, 0.0790)
Pr (0.9685, 0.9685, 0.6176)
Sn (0.3594, 0.3594, 0.4576)
Sn (0.3736, 0.3736, 0.9240)
Sn (0.4680, 0.4680, 0.7640)
Sn (0.5320, 0.5320, 0.2360)
Sn (0.6264, 0.6264, 0.0760)
Sn (0.6406, 0.6406, 0.5424)
Pd (0.2576, 0.2576, 0.6071)
Pd (0.7424, 0.7424, 0.3929)

Results
- Formation enthalpy at 0 K: -79.51 kJ/mol of atoms
- N(E_F): 0.818 states/eV/atom
- M_tot: 0.00 μB/f.u.

No. 3
First-principles (GGA-PBE) data for crystalline Te5Se12Br3 at its relaxed geometry, as listed in Alexandria via LeMat-Bulk.

Cell: 14.7740 14.7740 14.7740 Å, 109.47 109.47 109.47°
Atoms (fractional coordinates):
Te (0.0000, 0.0000, 0.0000)
Te (0.0000, 0.0000, 0.5000)
Te (0.0000, 0.5000, 0.0000)
Te (0.0000, 0.5000, 0.5000)
Te (0.1250, 0.7500, 0.8750)
Te (0.1250, 0.8750, 0.2500)
Te (0.2500, 0.1250, 0.8750)
Te (0.2500, 0.6250, 0.3750)
Te (0.3750, 0.2500, 0.6250)
Te (0.3750, 0.6250, 0.7500)
Te (0.5000, 0.0000, 0.0000)
Te (0.5000, 0.0000, 0.5000)
Te (0.5000, 0.5000, 0.0000)
Te (0.5000, 0.5000, 0.5000)
Te (0.6250, 0.3750, 0.2500)
Te (0.6250, 0.7500, 0.3750)
Te (0.7500, 0.3750, 0.6250)
Te (0.7500, 0.8750, 0.1250)
Te (0.8750, 0.1250, 0.7500)
Te (0.8750, 0.2500, 0.1250)
Se (0.0397, 0.2237, 0.1068)
Se (0.0397, 0.3159, 0.9329)
Se (0.0671, 0.6068, 0.3830)
Se (0.0671, 0.9603, 0.6841)
Se (0.1068, 0.0397, 0.2237)
Se (0.1068, 0.5671, 0.8830)
Se (0.1170, 0.7237, 0.6841)
Se (0.1170, 0.8932, 0.4329)
Se (0.1841, 0.2237, 0.6170)
Se (0.1841, 0.4603, 0.5671)
Se (0.2237, 0.1068, 0.0397)
Se (0.2237, 0.6170, 0.1841)
Se (0.2763, 0.3159, 0.8830)
Se (0.2763, 0.4603, 0.3932)
Se (0.3159, 0.8830, 0.2763)
Se (0.3159, 0.9329, 0.0397)
Se (0.3830, 0.0671, 0.6068)
Se (0.3830, 0.8159, 0.7763)
Se (0.3932, 0.2763, 0.4603)
Se (0.3932, 0.6170, 0.9329)
Se (0.4329, 0.1170, 0.8932)
Se (0.4329, 0.8159, 0.5397)
Se (0.4603, 0.3932, 0.2763)
Se (0.4603, 0.5671, 0.1841)
Se (0.5397, 0.4329, 0.8159)
Se (0.5397, 0.6068, 0.7237)
Se (0.5671, 0.1841, 0.4603)
Se (0.5671, 0.8830, 0.1068)
Se (0.6068, 0.3830, 0.0671)
Se (0.6068, 0.7237, 0.5397)
Se (0.6170, 0.1841, 0.2237)
Se (0.6170, 0.9329, 0.3932)
Se (0.6841, 0.0671, 0.9603)
Se (0.6841, 0.1170, 0.7237)
Se (0.7237, 0.5397, 0.6068)
Se (0.7237, 0.6841, 0.1170)
Se (0.7763, 0.3830, 0.8159)
Se (0.7763, 0.8932, 0.9603)
Se (0.8159, 0.5397, 0.4329)
Se (0.8159, 0.7763, 0.3830)
Se (0.8830, 0.1068, 0.5671)
Se (0.8830, 0.2763, 0.3159)
Se (0.8932, 0.4329, 0.1170)
Se (0.8932, 0.9603, 0.7763)
Se (0.9329, 0.0397, 0.3159)
Se (0.9329, 0.3932, 0.6170)
Se (0.9603, 0.6841, 0.0671)
Se (0.9603, 0.7763, 0.8932)
Br (0.1250, 0.2500, 0.3750)
Br (0.1250, 0.3750, 0.7500)
Br (0.2500, 0.3750, 0.1250)
Br (0.2500, 0.8750, 0.6250)
Br (0.3750, 0.1250, 0.2500)
Br (0.3750, 0.7500, 0.1250)
Br (0.6250, 0.2500, 0.8750)
Br (0.6250, 0.8750, 0.7500)
Br (0.7500, 0.1250, 0.3750)
Br (0.7500, 0.6250, 0.8750)
Br (0.8750, 0.6250, 0.2500)
Br (0.8750, 0.7500, 0.6250)

Results
- Uncorrected formation energy: 0.34 eV per atom
- N(E_F): 0.917 states/eV/atom
- M_tot: 0.00 μB/f.u.

no.,V (Å³/cell),E (eV/atom)
1,128.7,-8.116
2,392.4,-5.330
3,2482.4,-2.790